# 1
6
Lattice="4.4720 0.0000 0.0000 0.0000 4.4720 0.0000 0.0000 0.0000 8.6004" Properties=species:S:1:pos:R:3 comment="NdZrPb | Alexandria | GGA-PBE | optimized geometry" sg="P4/nmm (129)" m_tot_mub_per_fu=0.0 final_energy_ev_per_atom=-6.061 n_ef_per_ev_atom=1.0783 pbc="T T T"
Nd 1.1180 1.1180 1.3736
Nd 3.3540 3.3540 7.2267
Zr 1.1180 3.3540 4.3002
Zr 3.3540 1.1180 4.3002
Pb 1.1180 1.1180 6.5523
Pb 3.3540 3.3540 2.0481

# 2
9
Lattice="-2.6844 2.6844 3.0036 2.6844 -2.6844 3.0036 2.6844 2.6844 -3.0036" Properties=species:S:1:pos:R:3 comment="Na2H6Cl | Alexandria | GGA-PBE | optimized geometry" sg="I4/mmm (139)" m_tot_mub_per_fu=0.2 final_energy_ev_per_atom=-2.416 n_ef_per_ev_atom=0.1478 pbc="T T T"
Na 2.6844 0.0000 1.5018
Na 0.0000 2.6844 1.5018
H 0.6944 0.6944 0.0000
H 1.9899 -1.9899 3.0036
H 0.0000 0.0000 0.9488
H 0.0000 0.0000 5.0583
H -1.9899 1.9899 3.0036
H 1.9899 1.9899 3.0036
Cl 0.0000 0.0000 3.0036

# 3
10
Lattice="-6.2127 6.2127 2.8057 6.2127 -6.2127 2.8057 6.2127 6.2127 -2.8057" Properties=species:S:1:pos:R:3 comment="Cs4Hg5Pt | Alexandria | GGA-PBE | optimized geometry" sg="I4/mmm (139)" m_tot_mub_per_fu=0.0 n_ef_per_ev_atom=0.6628 relative_energy_mev_per_atom=9.3 pbc="T T T"
Cs 3.5583 0.0000 0.0000
Cs 8.8671 0.0000 0.0000
Cs 0.0000 3.5583 0.0000
Cs 0.0000 8.8671 0.0000
Hg 0.0000 0.0000 0.0000
Hg 4.1898 4.1898 0.0000
Hg 2.0229 -2.0229 2.8057
Hg -2.0229 2.0229 2.8057
Hg 2.0229 2.0229 2.8057
Pt 0.0000 0.0000 2.8057

# 4
7
Lattice="-3.5083 3.5083 2.7541 3.5083 -3.5083 2.7541 3.5083 3.5083 -2.7541" Properties=species:S:1:pos:R:3 comment="Li2Ag4Pb | Alexandria | GGA-PBE | optimized geometry" sg="I4/mmm (139)" m_tot_mub_per_fu=0.0 n_ef_per_ev_atom=0.1379 relative_energy_mev_per_atom=17.1 pbc="T T T"
Li 3.5083 0.0000 1.3771
Li 0.0000 3.5083 1.3771
Ag 1.4136 1.4136 0.0000
Ag 2.0947 -2.0947 2.7541
Ag -2.0947 2.0947 2.7541
Ag 2.0947 2.0947 2.7541
Pb 0.0000 0.0000 2.7541

# 5
9
Lattice="2.9811 -8.7572 0.0000 2.9811 8.7572 0.0000 -2.8192 0.0000 5.2710" Properties=species:S:1:pos:R:3 comment="Hg2BiPb6 | Alexandria | GGA-PBE | optimized geometry" sg="C2/m (12)" m_tot_mub_per_fu=0.0 n_ef_per_ev_atom=0.6047 relative_energy_mev_per_atom=0.0 pbc="T T T"
Hg 2.9811 5.7957 0.0000
Hg 2.9811 -5.7957 0.0000
Bi -1.4096 0.0000 2.6355
Pb 0.0919 2.9140 3.5341
Pb 1.4932 0.0000 0.8715
Pb 0.0919 -2.9140 3.5341
Pb 3.0512 2.9140 1.7369
Pb 1.6499 0.0000 4.3996
Pb 3.0512 -2.9140 1.7369

# 6
4
Lattice="0.0000 4.0781 4.0781 4.0781 0.0000 4.0781 4.0781 4.0781 0.0000" Properties=species:S:1:pos:R:3 comment="NdEuDyTm | Alexandria | GGA-PBE | optimized geometry" sg="F-43m (216)" m_tot_mub_per_fu=7.1 final_energy_ev_per_atom=-5.881 n_ef_per_ev_atom=1.6967 pbc="T T T"
Nd 0.0000 0.0000 0.0000
Eu 4.0781 4.0781 4.0781
Dy 6.1171 6.1171 6.1171
Tm 2.0390 2.0390 2.0390

# 7
6
Lattice="5.0117 0.0000 0.0000 0.0000 5.0117 0.0000 0.0000 0.0000 7.1838" Properties=species:S:1:pos:R:3 comment="Er4ZnPb | Alexandria | GGA-PBE | optimized geometry" sg="P4/mmm (123)" m_tot_mub_per_fu=0.0 n_ef_per_ev_atom=1.0694 relative_energy_mev_per_atom=177.6 pbc="T T T"
Er 0.0000 2.5059 1.6433
Er 0.0000 2.5059 5.5405
Er 2.5059 0.0000 1.6433
Er 2.5059 0.0000 5.5405
Zn 0.0000 0.0000 0.0000
Pb 2.5059 2.5059 3.5919

# 8
24
Lattice="7.6382 0.0000 0.0000 0.0000 7.6382 0.0000 0.0000 0.0000 7.6382" Properties=species:S:1:pos:R:3 comment="Zr3In2O | Alexandria | GGA-PBE | optimized geometry" formation_energy_uncorrected_kcal_per_mol_atoms=-23.7 sg="P4_132 (213)" m_tot_mub_per_fu=0.0 n_ef_per_ev_atom=0.6745 pbc="T T T"
Zr 0.3231 0.9548 6.0517
Zr 0.9548 6.0517 0.3231
Zr 1.5865 4.1422 2.8643
Zr 2.2326 3.4960 6.6834
Zr 2.8643 1.5865 4.1422
Zr 3.4960 6.6834 2.2326
Zr 4.1422 2.8643 1.5865
Zr 4.7739 5.4056 7.3151
Zr 5.4056 7.3151 4.7739
Zr 6.0517 0.3231 0.9548
Zr 6.6834 2.2326 3.4960
Zr 7.3151 4.7739 5.4056
In 0.5149 7.1233 3.3042
In 1.3946 1.3946 1.3946
In 2.4245 6.2436 5.2137
In 3.3042 0.5149 7.1233
In 4.3340 4.3340 4.3340
In 5.2137 2.4245 6.2436
In 6.2436 5.2137 2.4245
In 7.1233 3.3042 0.5149
O 0.9548 2.8643 4.7739
O 2.8643 4.7739 0.9548
O 4.7739 0.9548 2.8643
O 6.6834 6.6834 6.6834

# 9
32
Lattice="5.5792 3.2212 5.6972 -5.5792 3.2212 5.6972 0.0000 -6.4423 5.6972" Properties=species:S:1:pos:R:3 comment="TlBr3F12 | Alexandria | GGA-PBE | optimized geometry" formation_energy_uncorrected_kcal_per_mol_atoms=-26.3 sg="R-3c (167)" m_tot_mub_per_fu=0.0 n_ef_per_ev_atom=0.0000 pbc="T T T"
Tl 0.0000 0.0000 0.0000
Tl 0.0000 0.0000 8.5459
Br -3.6928 0.0462 7.1216
Br -1.8864 -3.1749 9.9702
Br 1.8064 -3.2212 7.1216
Br -1.8064 3.2211 9.9702
Br 1.8864 3.1749 7.1216
Br 3.6928 -0.0462 9.9702
F -3.1995 -1.6979 7.2366
F -0.1293 -2.8225 4.3880
F -3.9082 -2.6170 10.0853
F -2.3797 1.5233 4.3880
F -4.2205 2.0761 7.0064
F 0.3123 -4.6931 7.0064
F -1.6710 0.6042 7.2367
F 0.3123 -1.7492 7.2367
F -0.1293 -3.6198 9.8551
F -1.3587 -1.1450 9.8550
F -3.0702 1.9219 9.8551
F -2.5090 -1.2992 12.7038
F 2.5090 1.2992 4.3880
F 3.0702 -1.9219 7.2366
F 1.3587 1.1450 7.2367
F 0.1293 3.6198 7.2366
F -0.3123 1.7492 9.8550
F 1.6710 -0.6042 9.8550
F -0.3123 4.6931 10.0853
F 4.2205 -2.0761 10.0853
F 2.3797 -1.5233 12.7037
F 3.9082 2.6170 7.0064
F 0.1293 2.8225 12.7037
F 3.1995 1.6979 9.8551

# 10
4
Lattice="4.7344 0.0000 0.0000 0.0000 2.3022 5.8261 0.0000 -2.3022 5.8261" Properties=species:S:1:pos:R:3 comment="Ba2IrAu | Alexandria | GGA-PBE | optimized geometry" sg="Amm2 (38)" m_tot_mub_per_fu=0.0 n_ef_per_ev_atom=0.4897 relative_energy_mev_per_atom=0.0 pbc="T T T"
Ba 0.0000 0.0000 0.0000
Ba 2.3672 0.0000 3.2968
Ir 0.0000 0.0000 8.1884
Au 2.3672 0.0000 6.7454

# 11
4
Lattice="3.4272 0.0000 0.0000 0.0000 3.4272 0.0000 0.0000 0.0000 8.5520" Properties=species:S:1:pos:R:3 comment="ScHg2Bi | Alexandria | GGA-PBE | optimized geometry" sg="P4/mmm (123)" m_tot_mub_per_fu=0.6 final_energy_ev_per_atom=-2.872 n_ef_per_ev_atom=0.5282 pbc="T T T"
Sc 0.0000 0.0000 0.0000
Hg 1.7136 1.7136 1.8710
Hg 1.7136 1.7136 6.6809
Bi 0.0000 0.0000 4.2760

# 12
4
Lattice="0.0000 3.6774 3.6774 3.6774 0.0000 3.6774 3.6774 3.6774 0.0000" Properties=species:S:1:pos:R:3 comment="LaGdMnAu | Alexandria | GGA-PBE | optimized geometry" sg="F-43m (216)" m_tot_mub_per_fu=4.2 final_energy_ev_per_atom=-8.083 n_ef_per_ev_atom=1.3825 pbc="T T T"
La 0.0000 0.0000 0.0000
Gd 3.6774 3.6774 3.6774
Mn 5.5160 5.5160 5.5160
Au 1.8387 1.8387 1.8387

# 13
11
Lattice="6.7957 -3.0532 0.0000 6.7957 3.0532 0.0000 -2.7764 0.0000 8.1141" Properties=species:S:1:pos:R:3 comment="Tb5Te5P | Alexandria | GGA-PBE | optimized geometry" formation_energy_uncorrected_kcal_per_mol_atoms=-33.5 sg="C2/m (12)" m_tot_mub_per_fu=0.0 n_ef_per_ev_atom=0.3755 pbc="T T T"
Tb 0.0000 0.0000 0.0000
Tb 4.2517 0.0000 1.2571
Tb 2.8004 0.0000 5.5833
Tb 8.0145 0.0000 2.5308
Tb 6.5633 0.0000 6.8570
Te -0.0755 0.0000 6.6613
Te 1.3948 0.0000 2.7343
Te 5.4075 0.0000 4.0571
Te 9.4202 0.0000 5.3798
Te 10.8904 0.0000 1.4528
P 6.7957 0.0000 0.0000

# 14
8
Lattice="-3.6856 3.6856 2.7042 3.6856 -3.6856 2.7042 3.6856 3.6856 -2.7042" Properties=species:S:1:pos:R:3 comment="NaAsIr2 | Alexandria | GGA-PBE | optimized geometry" sg="I-42d (122)" m_tot_mub_per_fu=0.0 final_energy_ev_per_atom=-5.572 n_ef_per_ev_atom=0.1758 pbc="T T T"
Na 0.0000 0.0000 0.0000
Na 0.0000 3.6856 1.3521
As 3.6856 0.0000 1.3521
As 0.0000 0.0000 2.7042
Ir 1.8428 -1.3057 2.0282
Ir 2.3800 1.8428 0.6761
Ir 1.8428 4.9913 -0.6761
Ir 1.3057 1.8428 3.3803

# 15
5
Lattice="5.2122 0.0000 0.0000 0.0000 5.2122 0.0000 0.0000 0.0000 5.2122" Properties=species:S:1:pos:R:3 comment="PdRuPb3 | Alexandria | GGA-PBE | optimized geometry" sg="Pm-3m (221)" m_tot_mub_per_fu=0.0 n_ef_per_ev_atom=0.3910 relative_energy_mev_per_atom=0.0 pbc="T T T"
Pd 0.0000 0.0000 0.0000
Ru 2.6061 2.6061 2.6061
Pb 0.0000 2.6061 2.6061
Pb 2.6061 0.0000 2.6061
Pb 2.6061 2.6061 0.0000

# 16
12
Lattice="3.5257 -6.1138 0.0000 3.5257 6.1138 0.0000 -2.3546 0.0000 6.6708" Properties=species:S:1:pos:R:3 comment="Pm6SiS5 | Alexandria | GGA-PBE | optimized geometry" formation_energy_uncorrected_kcal_per_mol_atoms=-42.6 sg="C2/m (12)" m_tot_mub_per_fu=0.0 n_ef_per_ev_atom=0.4409 pbc="T T T"
Pm 1.1635 2.0188 1.6589
Pm -0.0194 0.0000 5.0282
Pm 1.1635 -2.0188 1.6589
Pm 3.5333 2.0188 5.0119
Pm 4.7162 0.0000 1.6426
Pm 3.5333 -2.0188 5.0119
Si 0.0000 0.0000 0.0000
S 2.3484 4.0847 3.3354
S 3.5257 2.0430 0.0000
S 2.3484 0.0000 3.3354
S 3.5257 -2.0430 0.0000
S 2.3484 -4.0847 3.3354

# 17
4
Lattice="5.5613 0.0000 0.0000 0.0000 5.5613 0.0000 0.0000 0.0000 3.9493" Properties=species:S:1:pos:R:3 comment="CaPrMg2 | Alexandria | GGA-PBE | optimized geometry" sg="P4/mmm (123)" m_tot_mub_per_fu=0.0 final_energy_ev_per_atom=-2.595 n_ef_per_ev_atom=0.7392 pbc="T T T"
Ca 0.0000 0.0000 0.0000
Pr 2.7807 2.7807 0.0000
Mg 0.0000 2.7807 1.9746
Mg 2.7807 0.0000 1.9746

# 18
7
Lattice="2.4934 1.4396 6.7541 -2.4934 1.4396 6.7541 0.0000 -2.8792 6.7541" Properties=species:S:1:pos:R:3 comment="Pu4Ge2Pt | Alexandria | GGA-PBE | optimized geometry" sg="R-3m (166)" m_tot_mub_per_fu=0.7 n_ef_per_ev_atom=3.4716 relative_energy_mev_per_atom=250.1 pbc="T T T"
Pu 0.0000 0.0000 2.1909
Pu 0.0000 0.0000 4.8535
Pu 0.0000 0.0000 15.4087
Pu 0.0000 0.0000 18.0714
Ge 0.0000 0.0000 7.6680
Ge 0.0000 0.0000 12.5942
Pt 0.0000 0.0000 10.1311

# 19
10
Lattice="6.0633 0.0000 0.0000 0.0000 6.0633 0.0000 0.0000 0.0000 5.3147" Properties=species:S:1:pos:R:3 comment="CrCd2P2 | Alexandria | GGA-PBE | optimized geometry" sg="P4/mbm (127)" m_tot_mub_per_fu=3.0 n_ef_per_ev_atom=0.3950 relative_energy_mev_per_atom=0.0 pbc="T T T"
Cr 0.0000 0.0000 0.0000
Cr 3.0317 3.0317 0.0000
Cd 1.1264 1.9053 2.6574
Cd 1.9053 4.9369 2.6574
Cd 4.1581 1.1264 2.6574
Cd 4.9369 4.1581 2.6574
P 0.7793 2.2524 0.0000
P 2.2524 5.2841 0.0000
P 3.8109 0.7793 0.0000
P 5.2841 3.8109 0.0000

# 20
2
Lattice="-1.3623 2.2137 2.4698 1.3623 -2.2137 2.4698 1.3623 2.2137 -2.4698" Properties=species:S:1:pos:R:3 comment="CrIr | Alexandria | GGA-PBE | optimized geometry" sg="Immm (71)" m_tot_mub_per_fu=2.1 final_energy_ev_per_atom=-8.736 n_ef_per_ev_atom=1.5699 pbc="T T T"
Cr 0.0000 0.0000 0.0000
Ir 0.0000 0.0000 2.4698